Here is a relaxed structure of CuPF6 from Alexandria. Energies are from PBE-GGA.

Summary:
- ρ (g cm⁻³) = 3.46
- V (Å³ per atom) = 12.5
- formation energy from raw total energies (meV/atom) = -2134

a b c (Å): 4.9841 4.9991 5.3364
angles (deg): 115.33 93.46 118.07
Space group P-1 (No. 2)
Inequivalent atoms, fractional coordinates:
1 Cu 0.0000 0.0000 0.0000 (multiplicity 1)
2 P 0.5000 0.0000 0.5000 (multiplicity 1)
3 F 0.1587 0.8713 0.2797 (multiplicity 2)
4 F 0.3019 0.8583 0.6955 (multiplicity 2)
5 F 0.4390 0.6110 0.2922 (multiplicity 2)